(A)
VASP calculation (PBE) on HoZnInS3 after structural relaxation.

## Properties
Spin magnetization ... 0.00 μB per atom

CIF file:
```
data_HoZnInS3
_space_group_name_H-M_alt 'C m c m'
_space_group_IT_number 63
_space_group_name_Hall '-C 2c 2'
_cell_length_a 3.941
_cell_length_b 14.061
_cell_length_c 10.485
_cell_angle_alpha 90.00
_cell_angle_beta 90.00
_cell_angle_gamma 90.00
loop_
_atom_site_label
_atom_site_fract_x
_atom_site_fract_y
_atom_site_fract_z
Ho1 0.000 0.000 0.000
Zn1 0.000 0.459 0.250
In1 0.000 0.254 0.750
S1 0.000 0.061 0.250
S2 0.000 0.373 0.062
```

(B)
VASP calculation (PBE) on HoZnInS3 after structural relaxation.

## Properties
Spin magnetization ... 0.00 μB per atom

CIF file:
```
data_HoZnInS3
_space_group_name_H-M_alt 'P n m a'
_space_group_IT_number 62
_cell_length_a 11.243
_cell_length_b 4.059
_cell_length_c 11.810
_cell_angle_alpha 90.00
_cell_angle_beta 90.00
_cell_angle_gamma 90.00
loop_
_space_group_symop_operation_xyz
'x,y,z'
'-x,-y,-z'
'-x+1/2,-y,z+1/2'
'x+1/2,y,-z+1/2'
'x+1/2,-y+1/2,-z+1/2'
'-x+1/2,y+1/2,z+1/2'
'-x,y+1/2,-z'
'x,-y+1/2,z'
loop_
_atom_site_label
_atom_site_fract_x
_atom_site_fract_y
_atom_site_fract_z
Ho1 0.023 0.250 0.170
Zn1 0.248 0.750 0.305
In1 0.162 0.250 0.514
S1 0.042 0.750 0.327
S2 0.101 0.250 0.940
S3 0.226 0.750 0.698
```

Stability check: which of them is least stable? (B).

(A)
VASP calculation (PBE) on HoZnInSe3 after structural relaxation.

## Properties
Spin magnetization ... 0.00 μB per atom

CIF file:
```
data_HoZnInSe3
_space_group_name_H-M_alt 'P n m a'
_space_group_IT_number 62
_cell_length_a 14.730
_cell_length_b 4.095
_cell_length_c 11.037
_cell_angle_alpha 90.00
_cell_angle_beta 90.00
_cell_angle_gamma 90.00
loop_
_space_group_symop_operation_xyz
'x,y,z'
'-x,-y,-z'
'-x+1/2,-y,z+1/2'
'x+1/2,y,-z+1/2'
'x+1/2,-y+1/2,-z+1/2'
'-x+1/2,y+1/2,z+1/2'
'-x,y+1/2,-z'
'x,-y+1/2,z'
loop_
_atom_site_label
_atom_site_fract_x
_atom_site_fract_y
_atom_site_fract_z
Ho1 0.025 0.250 0.157
Zn1 0.019 0.750 0.401
In1 0.244 0.250 0.464
Se1 0.082 0.750 0.616
Se2 0.099 0.250 0.922
Se3 0.142 0.750 0.248
```

(B)
VASP calculation (PBE) on HoZnInSe3 after structural relaxation.

## Properties
Spin magnetization ... 0.00 μB per atom

CIF file:
```
data_HoZnInSe3
_space_group_name_H-M_alt 'C m c m'
_space_group_IT_number 63
_space_group_name_Hall '-C 2c 2'
_cell_length_a 4.078
_cell_length_b 14.667
_cell_length_c 10.858
_cell_angle_alpha 90.00
_cell_angle_beta 90.00
_cell_angle_gamma 90.00
loop_
_atom_site_label
_atom_site_fract_x
_atom_site_fract_y
_atom_site_fract_z
Ho1 0.000 0.000 0.000
Zn1 0.000 0.463 0.250
In1 0.000 0.248 0.750
Se1 0.000 0.067 0.250
Se2 0.000 0.370 0.061
```

Stability check: which of them is least stable? (A).